No. 1
Computed, not measured: a relaxed structure of NbAs2CI at the PBE level of DFT.

Results
Formation energy without anion corrections, meV/atom: 1269.1
Density of states at the Fermi level, states/eV/atom: 0.862
Total magnetic moment, μB/f.u.: 0.00
E_tot, eV/cell: -23.8

Cell lengths 4.3592, 4.7074, 4.3592 Å; angles 90.00, 90.00, 90.00 degrees
Sites, in units of the cell vectors:
C (0.0000, 0.0000, 0.0000)
I (0.0000, 0.5000, 0.0000)
As (0.5000, 0.0000, 0.0000)
Nb (0.5000, 0.5000, 0.5000)
As (0.0000, 0.0000, 0.5000)

---

No. 2
Computed, not measured: a relaxed structure of Nd4AsCI2 at the PBE level of DFT.

Results
Formation energy without anion corrections, meV/atom: -993.9
Density of states at the Fermi level, states/eV/atom: 0.325
Total magnetic moment, μB/f.u.: 0.00
E_tot, eV/cell: -44.0

Cell lengths 4.0727, 7.2436, 8.0948 Å; angles 106.86, 90.00, 90.00 degrees
Sites, in units of the cell vectors:
Nd (0.0000, 0.6987, 0.1786)
Nd (0.0000, 0.3013, 0.8214)
C (0.5000, 0.5000, 0.0000)
I (0.5000, 0.0000, 0.5000)
I (0.0000, 0.5000, 0.5000)
As (0.0000, 0.0000, 0.0000)
Nd (0.5000, 0.7363, 0.8158)
Nd (0.5000, 0.2637, 0.1842)

---

No. 3
Computed, not measured: a relaxed structure of Nd8As3CI4 at the PBE level of DFT.

Results
Formation energy without anion corrections, meV/atom: -1151.9
Density of states at the Fermi level, states/eV/atom: 0.458
Total magnetic moment, μB/f.u.: 0.00
E_tot, eV/cell: -85.9

Cell lengths 8.4747, 9.1254, 8.4749 Å; angles 117.67, 120.00, 90.00 degrees
Sites, in units of the cell vectors:
As (0.0000, 0.5000, 0.5000)
Nd (0.7650, 0.6852, 0.9751)
I (0.0000, 0.0000, 0.5000)
I (0.5000, 0.0000, 0.0000)
Nd (0.2101, 0.6852, 0.4203)
Nd (0.2350, 0.3148, 0.0249)
Nd (0.2101, 0.6852, 0.9751)
Nd (0.7899, 0.3148, 0.0249)
I (0.0000, 0.0000, 0.0000)
Nd (0.2687, 0.3062, 0.5374)
C (0.0000, 0.5000, 0.0000)
I (0.5000, 0.0000, 0.5000)
As (0.5000, 0.5000, 0.5000)
Nd (0.7313, 0.6938, 0.4626)
As (0.5000, 0.5000, 0.0000)
Nd (0.7899, 0.3148, 0.5797)

---

No. 4
Computed, not measured: a relaxed structure of AsPdC2I at the PBE level of DFT.

Results
Formation energy without anion corrections, meV/atom: 1917.7
Density of states at the Fermi level, states/eV/atom: 0.555
Total magnetic moment, μB/f.u.: 1.02
E_tot, eV/cell: -20.3

Cell lengths 3.8659, 8.6292, 3.8659 Å; angles 90.00, 90.00, 90.00 degrees
Sites, in units of the cell vectors:
Pd (0.5000, 0.5000, 0.5000)
C (0.5000, 0.0000, 0.0000)
C (0.0000, 0.0000, 0.5000)
As (0.0000, 0.0000, 0.0000)
I (0.0000, 0.5000, 0.0000)

---

No. 5
Computed, not measured: a relaxed structure of Pm6AsC2I3 at the PBE level of DFT.

Results
Formation energy without anion corrections, meV/atom: -899.4
Density of states at the Fermi level, states/eV/atom: 0.358
Total magnetic moment, μB/f.u.: 0.00
E_tot, eV/cell: -67.0

Cell lengths 6.9406, 6.9406, 8.0611 Å; angles 98.26, 98.26, 120.00 degrees
Sites, in units of the cell vectors:
Pm (0.6974, 0.6974, 0.1766)
C (0.6668, 0.3332, 0.0000)
C (0.3332, 0.6668, 0.0000)
I (0.5000, 0.5000, 0.5000)
Pm (0.0591, 0.4208, 0.1774)
Pm (0.3026, 0.3026, 0.8234)
Pm (0.9409, 0.5792, 0.8226)
I (0.1625, 0.8375, 0.5000)
Pm (0.4208, 0.0591, 0.1774)
Pm (0.5792, 0.9409, 0.8226)
I (0.8375, 0.1625, 0.5000)
As (0.0000, 0.0000, 0.0000)

---

No. 6
Computed, not measured: a relaxed structure of Pr4AsCI2 at the PBE level of DFT.

Results
Formation energy without anion corrections, meV/atom: -989.5
Density of states at the Fermi level, states/eV/atom: 0.329
Total magnetic moment, μB/f.u.: 0.00
E_tot, eV/cell: -44.0

Cell lengths 4.1022, 7.2924, 8.1720 Å; angles 106.82, 90.00, 90.00 degrees
Sites, in units of the cell vectors:
C (0.5000, 0.5000, 0.0000)
As (0.0000, 0.0000, 0.0000)
Pr (0.5000, 0.7366, 0.8150)
I (0.0000, 0.5000, 0.5000)
Pr (0.5000, 0.2634, 0.1850)
Pr (0.0000, 0.6994, 0.1794)
Pr (0.0000, 0.3006, 0.8206)
I (0.5000, 0.0000, 0.5000)

---

No. 7
Computed, not measured: a relaxed structure of Pr8As3CI4 at the PBE level of DFT.

Results
Formation energy without anion corrections, meV/atom: -1154.8
Density of states at the Fermi level, states/eV/atom: 0.457
Total magnetic moment, μB/f.u.: 0.00
E_tot, eV/cell: -86.1

Cell lengths 8.5354, 9.2042, 8.5347 Å; angles 117.63, 120.00, 90.00 degrees
Sites, in units of the cell vectors:
Pr (0.7649, 0.6859, 0.9754)
As (0.5000, 0.5000, 0.0000)
I (0.0000, 0.0000, 0.0000)
As (0.5000, 0.5000, 0.5000)
I (0.0000, 0.0000, 0.5000)
Pr (0.2351, 0.3141, 0.0246)
Pr (0.2106, 0.6859, 0.4211)
Pr (0.2105, 0.6859, 0.9754)
Pr (0.2685, 0.3056, 0.5371)
I (0.5000, 0.0000, 0.0000)
Pr (0.7315, 0.6944, 0.4629)
As (0.0000, 0.5000, 0.5000)
C (0.0000, 0.5000, 0.0000)
Pr (0.7894, 0.3141, 0.5789)
I (0.5000, 0.0000, 0.5000)
Pr (0.7895, 0.3141, 0.0246)

---

No. 8
Computed, not measured: a relaxed structure of Rb2AsCI6 at the PBE level of DFT.

Results
Formation energy without anion corrections, meV/atom: -131.8
Density of states at the Fermi level, states/eV/atom: 0.356
Total magnetic moment, μB/f.u.: 0.00
E_tot, eV/cell: -26.4

Cell lengths 7.9642, 7.9642, 7.9517 Å; angles 59.95, 59.95, 90.00 degrees
Sites, in units of the cell vectors:
I (0.7405, 0.2595, 0.0000)
I (0.2595, 0.7405, 0.0000)
As (0.0000, 0.0000, 0.0000)
C (0.5000, 0.5000, 0.0000)
I (0.7405, 0.7405, 0.0000)
I (0.2595, 0.2595, 0.0000)
I (0.2598, 0.2598, 0.4805)
I (0.7402, 0.7402, 0.5195)
Rb (0.2500, 0.7500, 0.5000)
Rb (0.7500, 0.2500, 0.5000)

---

No. 9
Computed, not measured: a relaxed structure of Re2AsCI at the PBE level of DFT.

Results
Formation energy without anion corrections, meV/atom: 1399.8
Density of states at the Fermi level, states/eV/atom: 1.041
Total magnetic moment, μB/f.u.: 0.00
E_tot, eV/cell: -33.3

Cell lengths 4.1965, 4.6446, 4.1965 Å; angles 90.00, 90.00, 90.00 degrees
Sites, in units of the cell vectors:
Re (0.5000, 0.0000, 0.0000)
I (0.5000, 0.5000, 0.5000)
C (0.0000, 0.0000, 0.0000)
Re (0.0000, 0.0000, 0.5000)
As (0.0000, 0.5000, 0.0000)

---

No. 10
Computed, not measured: a relaxed structure of ReAsCI2 at the PBE level of DFT.

Results
Formation energy without anion corrections, meV/atom: 2439.9
Density of states at the Fermi level, states/eV/atom: 1.050
Total magnetic moment, μB/f.u.: 5.75
E_tot, eV/cell: -17.2

Cell lengths 5.9411, 5.9411, 4.8416 Å; angles 90.00, 90.00, 90.00 degrees
Sites, in units of the cell vectors:
As (0.0000, 0.0000, 0.0000)
C (0.5000, 0.5000, 0.5000)
I (0.5000, 0.0000, 0.0000)
I (0.0000, 0.5000, 0.0000)
Re (0.0000, 0.0000, 0.5000)

---

No. 11
Computed, not measured: a relaxed structure of Sb2AsCI at the PBE level of DFT.

Results
Formation energy without anion corrections, meV/atom: 1923.8
Density of states at the Fermi level, states/eV/atom: 1.093
Total magnetic moment, μB/f.u.: 0.80
E_tot, eV/cell: -14.0

Cell lengths 5.4837, 5.4837, 5.5472 Å; angles 90.00, 90.00, 90.00 degrees
Sites, in units of the cell vectors:
Sb (0.5000, 0.0000, 0.0000)
C (0.5000, 0.5000, 0.5000)
Sb (0.0000, 0.5000, 0.0000)
I (0.0000, 0.0000, 0.5000)
As (0.0000, 0.0000, 0.0000)

---

No. 12
Computed, not measured: a relaxed structure of Sb2AsCI at the PBE level of DFT.

Results
Formation energy without anion corrections, meV/atom: 1169.6
Density of states at the Fermi level, states/eV/atom: 0.680
Total magnetic moment, μB/f.u.: 0.00
E_tot, eV/cell: -17.8

Cell lengths 4.8433, 4.8433, 4.8720 Å; angles 90.00, 90.00, 90.00 degrees
Sites, in units of the cell vectors:
Sb (0.0000, 0.5000, 0.0000)
I (0.0000, 0.0000, 0.5000)
Sb (0.5000, 0.0000, 0.0000)
As (0.5000, 0.5000, 0.5000)
C (0.0000, 0.0000, 0.0000)

---

No. 13
Computed, not measured: a relaxed structure of As2CSeI at the PBE level of DFT.

Results
Formation energy without anion corrections, meV/atom: 2490.8
Density of states at the Fermi level, states/eV/atom: 0.997
Total magnetic moment, μB/f.u.: 0.59
E_tot, eV/cell: -11.1

Cell lengths 5.5434, 5.5434, 5.3321 Å; angles 90.00, 90.00, 90.00 degrees
Sites, in units of the cell vectors:
I (0.0000, 0.0000, 0.0000)
As (0.0000, 0.5000, 0.0000)
C (0.5000, 0.5000, 0.5000)
Se (0.0000, 0.0000, 0.5000)
As (0.5000, 0.0000, 0.0000)

---

No. 14
Computed, not measured: a relaxed structure of AsCSe2I at the PBE level of DFT.

Results
Formation energy without anion corrections, meV/atom: 1200.0
Density of states at the Fermi level, states/eV/atom: 0.478
Total magnetic moment, μB/f.u.: 0.00
E_tot, eV/cell: -16.4

Cell lengths 4.2976, 4.2976, 5.6930 Å; angles 90.00, 90.00, 90.00 degrees
Sites, in units of the cell vectors:
As (0.0000, 0.0000, 0.5000)
Se (0.0000, 0.5000, 0.0000)
Se (0.5000, 0.0000, 0.0000)
I (0.5000, 0.5000, 0.5000)
C (0.0000, 0.0000, 0.0000)

---

No. 15
Computed, not measured: a relaxed structure of As2CSeI at the PBE level of DFT.

Results
Formation energy without anion corrections, meV/atom: 1200.4
Density of states at the Fermi level, states/eV/atom: 0.652
Total magnetic moment, μB/f.u.: 0.00
E_tot, eV/cell: -17.6

Cell lengths 4.7469, 4.7469, 4.3048 Å; angles 90.00, 90.00, 90.00 degrees
Sites, in units of the cell vectors:
Se (0.0000, 0.0000, 0.5000)
As (0.0000, 0.5000, 0.0000)
As (0.5000, 0.0000, 0.0000)
I (0.5000, 0.5000, 0.5000)
C (0.0000, 0.0000, 0.0000)

---

No. 16
Computed, not measured: a relaxed structure of AsCSe2I at the PBE level of DFT.

Results
Formation energy without anion corrections, meV/atom: 2353.8
Density of states at the Fermi level, states/eV/atom: 1.185
Total magnetic moment, μB/f.u.: 0.10
E_tot, eV/cell: -10.6

Cell lengths 5.3913, 5.3913, 5.5961 Å; angles 90.00, 90.00, 90.00 degrees
Sites, in units of the cell vectors:
Se (0.5000, 0.0000, 0.0000)
I (0.0000, 0.0000, 0.0000)
As (0.0000, 0.0000, 0.5000)
C (0.5000, 0.5000, 0.5000)
Se (0.0000, 0.5000, 0.0000)

---

No. 17
Computed, not measured: a relaxed structure of TcAsCI2 at the PBE level of DFT.

Results
Formation energy without anion corrections, meV/atom: 1045.2
Density of states at the Fermi level, states/eV/atom: 0.845
Total magnetic moment, μB/f.u.: 0.00
E_tot, eV/cell: -22.1

Cell lengths 5.4938, 3.8277, 5.4938 Å; angles 90.00, 90.00, 90.00 degrees
Sites, in units of the cell vectors:
I (0.5000, 0.0000, 0.0000)
As (0.5000, 0.5000, 0.5000)
Tc (0.0000, 0.0000, 0.0000)
C (0.0000, 0.5000, 0.0000)
I (0.0000, 0.0000, 0.5000)

---

No. 18
Computed, not measured: a relaxed structure of TeAsCI2 at the PBE level of DFT.

Results
Formation energy without anion corrections, meV/atom: 1301.5
Density of states at the Fermi level, states/eV/atom: 0.908
Total magnetic moment, μB/f.u.: 0.00
E_tot, eV/cell: -13.6

Cell lengths 5.0237, 5.0237, 4.8043 Å; angles 90.00, 90.00, 90.00 degrees
Sites, in units of the cell vectors:
I (0.0000, 0.5000, 0.0000)
I (0.5000, 0.0000, 0.0000)
Te (0.0000, 0.0000, 0.5000)
As (0.5000, 0.5000, 0.5000)
C (0.0000, 0.0000, 0.0000)

---

No. 19
Computed, not measured: a relaxed structure of TeAsCI2 at the PBE level of DFT.

Results
Formation energy without anion corrections, meV/atom: 1524.5
Density of states at the Fermi level, states/eV/atom: 1.370
Total magnetic moment, μB/f.u.: 3.50
E_tot, eV/cell: -12.5

Cell lengths 6.2932, 4.3173, 6.2932 Å; angles 90.00, 90.00, 90.00 degrees
Sites, in units of the cell vectors:
I (0.5000, 0.0000, 0.0000)
As (0.5000, 0.5000, 0.5000)
Te (0.0000, 0.0000, 0.0000)
C (0.0000, 0.5000, 0.0000)
I (0.0000, 0.0000, 0.5000)

---

No. 20
Computed, not measured: a relaxed structure of TeAsCI2 at the PBE level of DFT.

Results
Formation energy without anion corrections, meV/atom: 1677.5
Density of states at the Fermi level, states/eV/atom: 1.228
Total magnetic moment, μB/f.u.: 1.04
E_tot, eV/cell: -11.7

Cell lengths 5.6351, 5.6351, 5.6310 Å; angles 90.00, 90.00, 90.00 degrees
Sites, in units of the cell vectors:
I (0.0000, 0.5000, 0.0000)
Te (0.0000, 0.0000, 0.5000)
C (0.5000, 0.5000, 0.5000)
I (0.5000, 0.0000, 0.0000)
As (0.0000, 0.0000, 0.0000)

---

No. 21
Computed, not measured: a relaxed structure of VAs2CI at the PBE level of DFT.

Results
Formation energy without anion corrections, meV/atom: 1395.9
Density of states at the Fermi level, states/eV/atom: 1.627
Total magnetic moment, μB/f.u.: 0.00
E_tot, eV/cell: -22.2

Cell lengths 4.3038, 4.7668, 4.3038 Å; angles 90.00, 90.00, 90.00 degrees
Sites, in units of the cell vectors:
C (0.0000, 0.0000, 0.0000)
I (0.0000, 0.5000, 0.0000)
V (0.5000, 0.5000, 0.5000)
As (0.5000, 0.0000, 0.0000)
As (0.0000, 0.0000, 0.5000)

---

No. 22
Computed, not measured: a relaxed structure of InAs3C at the PBE level of DFT.

Results
Density of states at the Fermi level, states/eV/atom: 1.130
Total magnetic moment, μB/f.u.: 0.25
E_tot, eV/cell: -14.4

Cell lengths 5.2440, 5.2440, 5.2440 Å; angles 90.00, 90.00, 90.00 degrees
Sites, in units of the cell vectors:
In (0.0000, 0.0000, 0.0000)
As (0.0000, 0.0000, 0.5000)
C (0.5000, 0.5000, 0.5000)
As (0.0000, 0.5000, 0.0000)
As (0.5000, 0.0000, 0.0000)

---

No. 23
Computed, not measured: a relaxed structure of InAs2C at the PBE level of DFT.

Results
Density of states at the Fermi level, states/eV/atom: 0.520
Total magnetic moment, μB/f.u.: 0.00
E_tot, eV/cell: -15.2

Cell lengths 4.6574, 4.6574, 4.6574 Å; angles 60.00, 60.00, 60.00 degrees
Sites, in units of the cell vectors:
As (0.7500, 0.7500, 0.7500)
C (0.0000, 0.0000, 0.0000)
In (0.5000, 0.5000, 0.5000)
As (0.2500, 0.2500, 0.2500)

---

No. 24
Computed, not measured: a relaxed structure of In2As2C at the PBE level of DFT.

Results
Density of states at the Fermi level, states/eV/atom: 0.503
Total magnetic moment, μB/f.u.: 0.00
E_tot, eV/cell: -38.6

Cell lengths 6.3740, 6.3740, 5.5941 Å; angles 90.00, 90.00, 90.00 degrees
Sites, in units of the cell vectors:
As (0.6297, 0.8703, 0.5000)
As (0.8703, 0.3703, 0.5000)
In (0.8192, 0.3192, 0.0000)
In (0.1808, 0.6808, 0.0000)
In (0.3192, 0.1808, 0.0000)
As (0.3703, 0.1297, 0.5000)
C (0.0000, 0.0000, 0.0000)
C (0.5000, 0.5000, 0.0000)
As (0.1297, 0.6297, 0.5000)
In (0.6808, 0.8192, 0.0000)

---

No. 25
Computed, not measured: a relaxed structure of In2As2C at the PBE level of DFT.

Results
Density of states at the Fermi level, states/eV/atom: 0.704
Total magnetic moment, μB/f.u.: 0.00
E_tot, eV/cell: -18.4

Cell lengths 3.6078, 3.6078, 8.4655 Å; angles 77.70, 77.70, 90.00 degrees
Sites, in units of the cell vectors:
As (0.2500, 0.7500, 0.5000)
In (0.5867, 0.5867, 0.8267)
As (0.7500, 0.2500, 0.5000)
C (0.0000, 0.0000, 0.0000)
In (0.4133, 0.4133, 0.1733)

---

No. 26
Computed, not measured: a relaxed structure of InAs2C at the PBE level of DFT.

Results
Density of states at the Fermi level, states/eV/atom: 0.508
Total magnetic moment, μB/f.u.: 0.00
E_tot, eV/cell: -37.1

Cell lengths 6.2536, 6.2536, 5.9259 Å; angles 58.15, 58.15, 90.00 degrees
Sites, in units of the cell vectors:
As (0.5225, 0.1250, 0.2500)
As (0.8750, 0.7725, 0.7500)
As (0.3750, 0.4775, 0.7500)
In (0.0000, 0.0000, 0.0000)
As (0.2275, 0.6250, 0.2500)
C (0.5000, 0.5000, 0.0000)
In (0.7500, 0.2500, 0.5000)
C (0.2500, 0.7500, 0.5000)